Record 1
Density functional theory data (PBE) for NdAlGa2 after structural relaxation.

Output
Calculated total energy ... -4.180 eV per atom
Volume ... 20.74 Å³ per atom

a b c (Å): 4.5219 6.5002 11.2893
angles (deg): 90.00 90.00 90.00
Space group Amm2 (No. 38)
Inequivalent atoms, fractional coordinates:
Nd 0.0000 0.0000 0.0000
Nd 0.5000 0.0000 0.3353
Al 0.5000 0.2106 0.5991
Ga 0.0000 0.0000 0.5250
Ga 0.0000 0.2157 0.7380
Ga 0.5000 0.0000 0.8118



Record 2
Density functional theory data (PBE) for HoAlFe after structural relaxation.

Output
Calculated total energy ... -4.663 eV per atom
Volume ... 21.70 Å³ per atom

a b c (Å): 6.3862 6.3862 6.3862
angles (deg): 90.00 90.00 90.00
Space group F-43m (No. 216)
Inequivalent atoms, fractional coordinates:
Ho 0.0000 0.0000 0.0000
Al 0.2500 0.2500 0.7500
Fe 0.2500 0.2500 0.2500



Record 3
Density functional theory data (PBE) for Lu2TcIr after structural relaxation.

Output
Calculated total energy ... -7.115 eV per atom
DFT formation energy ... -50 meV/atom
Volume ... 18.45 Å³ per atom

a b c (Å): 6.6585 6.6585 6.6585
angles (deg): 90.00 90.00 90.00
Space group F-43m (No. 216)
Inequivalent atoms, fractional coordinates:
Lu 0.0000 0.0000 0.0000
Lu 0.2500 0.2500 0.2500
Tc 0.0000 0.0000 0.5000
Ir 0.2500 0.2500 0.7500



volume of number 1 (NdAlGa2)?
20.74 Å³ per atom



Which of these has the lowest volume?
Lu2TcIr